{"formula": "HoCrO3", "functional": "GGA+U", "state": "optimized geometry", "total_magnetization_mub_per_cell": 12.00, "final_energy_ev_per_cell": -164.26, "lattice_angstrom": [[-1.891, -4.931, 0.210], [4.224, -1.477, 3.369], [-4.206, 1.872, 6.095]], "species": ["Ho", "Ho", "Ho", "Ho", "Cr", "Cr", "Cr", "Cr", "O", "O", "O", "O", "O", "O", "O", "O", "O", "O", "O", "O"], "frac_coords": [[0.520, 0.569, 0.250], [0.980, 0.069, 0.250], [0.480, 0.431, 0.750], [0.020, 0.931, 0.750], [0.000, 0.500, 0.000], [0.500, 0.000, 0.500], [0.000, 0.500, 0.500], [0.500, 0.000, 0.000], [0.384, 0.957, 0.250], [0.116, 0.457, 0.250], [0.616, 0.043, 0.750], [0.884, 0.543, 0.750], [0.809, 0.804, 0.059], [0.691, 0.304, 0.441], [0.191, 0.196, 0.559], [0.309, 0.696, 0.941], [0.191, 0.196, 0.941], [0.309, 0.696, 0.559], [0.809, 0.804, 0.441], [0.691, 0.304, 0.059]]}